# 1
The following is a GGA-PBE calculation of a geometry-optimized KAgBiTe2 structure, from Alexandria.

a = 8.704 Å, b = 8.704 Å, c = 6.445 Å
α = 90.00°, β = 90.00°, γ = 135.47°
Fractional coordinates of all 10 atoms:
K1 0.250 0.750 0.760
K2 0.750 0.250 0.240
Ag1 0.000 0.000 0.500
Ag2 0.500 0.500 0.500
Bi1 0.250 0.250 0.000
Bi2 0.750 0.750 0.000
Te1 0.140 0.860 0.263
Te2 0.360 0.640 0.263
Te3 0.640 0.360 0.737
Te4 0.860 0.140 0.737

As for the space-group type: Cmme (67). As for the formation energy from raw total energies: -1.5 eV per formula unit.

---

# 2
The following is a GGA-PBE calculation of a geometry-optimized KTl2AgBi structure, from Alexandria.

a = 5.621 Å, b = 5.621 Å, c = 5.752 Å
α = 90.00°, β = 90.00°, γ = 90.00°
Fractional coordinates of all 5 atoms:
K1 0.000 0.000 0.000
Tl1 0.000 0.500 0.500
Tl2 0.500 0.000 0.500
Ag1 0.500 0.500 0.500
Bi1 0.500 0.500 0.000

For the energy relative to the elements, the calculation gives 0.05 eV per atom. As for the space-group type: P4/mmm (123).

---

# 3
The following is a GGA-PBE calculation of a geometry-optimized La2AgBi structure, from Alexandria.

a = 8.422 Å, b = 8.422 Å, c = 7.701 Å
α = 90.00°, β = 90.00°, γ = 90.00°
Fractional coordinates of all 16 atoms:
La1 0.231 0.250 0.125
La2 0.250 0.731 0.375
La3 0.250 0.769 0.875
La4 0.269 0.250 0.625
La5 0.731 0.750 0.625
La6 0.750 0.231 0.875
La7 0.750 0.269 0.375
La8 0.769 0.750 0.125
Ag1 0.000 0.000 0.000
Ag2 0.000 0.500 0.250
Ag3 0.500 0.000 0.750
Ag4 0.500 0.500 0.500
Bi1 0.000 0.000 0.500
Bi2 0.000 0.500 0.750
Bi3 0.500 0.000 0.250
Bi4 0.500 0.500 0.000

For the energy relative to the elements, the calculation gives -0.35 eV per atom. As for the space-group type: I-42d (122).

---

# 4
The following is a GGA-PBE calculation of a geometry-optimized LaAg2Bi structure, from Alexandria.

a = 4.641 Å, b = 4.641 Å, c = 21.346 Å
α = 90.00°, β = 90.00°, γ = 90.00°
Fractional coordinates of all 16 atoms:
La1 0.000 0.000 0.000
La2 0.000 0.500 0.250
La3 0.500 0.000 0.750
La4 0.500 0.500 0.500
Ag1 0.196 0.250 0.625
Ag2 0.250 0.696 0.875
Ag3 0.250 0.804 0.375
Ag4 0.304 0.250 0.125
Ag5 0.696 0.750 0.125
Ag6 0.750 0.196 0.375
Ag7 0.750 0.304 0.875
Ag8 0.804 0.750 0.625
Bi1 0.000 0.000 0.500
Bi2 0.000 0.500 0.750
Bi3 0.500 0.000 0.250
Bi4 0.500 0.500 0.000

For the energy relative to the elements, the calculation gives -0.17 eV per atom. As for the space-group type: I-42d (122).

---

Number 1: calculated volume 342 Å³ per cell, electronic total energy -31.27 eV for the cell shown. Number 2: calculated volume 182 Å³ per cell, electronic total energy -12.30 eV for the cell shown. Number 3: calculated volume 546 Å³ per cell, electronic total energy -71.98 eV for the cell shown. Number 4: calculated volume 460 Å³ per cell, electronic total energy -60.83 eV for the cell shown.